No. 1
## La2HoMg (PBE-GGA)

Data for La2HoMg after structural relaxation.

Lattice parameters (Å, degrees): 5.6870 5.6870 5.6870 60.00 60.00 60.00
With the nearest neighbours (Å) after each atom.
Fractional positions:
La  0.2500  0.2500  0.2500  4 Mg 3.48, 4 Ho 3.48
La  0.7500  0.7500  0.7500  4 Mg 3.48, 4 Ho 3.48
Ho  0.0000  0.0000  0.0000  8 La 3.48
Mg  0.5000  0.5000  0.5000  8 La 3.48

Calculated values
E = -16.02 eV/cell
symmetry = Fm-3m

***

No. 2
## LaHoMg (PBE-GGA)

Data for LaHoMg after structural relaxation.

Lattice parameters (Å, degrees): 3.4205 5.5067 9.7043 89.99 89.87 90.00
With the nearest neighbours (Å) after each atom.
Fractional positions:
La  0.9998  0.2497  0.0715  4 La 3.08-3.42, 1 Mg 3.35
La  0.0002  0.7503  0.9285  4 La 3.08-3.42, 1 Mg 3.35
Ho  0.5000  0.2503  0.7258  2 Ho 3.42, 6 Mg 3.45-3.53, 6 La 3.76-3.79
Ho  0.5000  0.7497  0.2742  2 Ho 3.42, 6 Mg 3.45-3.53, 6 La 3.76-3.79
Mg  0.0006  0.7507  0.5834  4 Mg 3.19-3.42, 1 La 3.35, 6 Ho 3.45-3.53
Mg  0.9994  0.2493  0.4166  4 Mg 3.19-3.42, 1 La 3.35, 6 Ho 3.45-3.53

Calculated values
E = -22.05 eV/cell
symmetry = P-1

***

No. 3
## La7Ho2Mg2 (PBE-GGA)

Data for La7Ho2Mg2 after structural relaxation.

Lattice parameters (Å, degrees): 8.2017 8.2017 5.9747 105.87 105.87 85.41
With the nearest neighbours (Å) after each atom.
Fractional positions:
La  0.0000  0.0000  0.0000  4 La 3.20
La  0.0149  0.5961  0.8075  5 La 3.19-3.53, 2 Ho 3.48-3.53
La  0.2347  0.2347  0.6593  2 Mg 3.36-3.68, 4 La 3.38-3.53, 2 Ho 3.60
La  0.4039  0.9851  0.1925  5 La 3.19-3.53, 2 Ho 3.48-3.53
La  0.5961  0.0149  0.8075  5 La 3.19-3.53, 2 Ho 3.48-3.53
La  0.7653  0.7653  0.3407  2 Mg 3.36-3.68, 4 La 3.38-3.53, 2 Ho 3.60
La  0.9851  0.4039  0.1925  5 La 3.19-3.53, 2 Ho 3.48-3.53
Ho  0.2216  0.7784  0.5000  2 Mg 3.46, 8 La 3.48-3.87
Ho  0.7784  0.2216  0.5000  2 Mg 3.46, 8 La 3.48-3.87
Mg  0.4426  0.4426  0.2212  2 Mg 3.10-3.41, 1 La 3.36, 2 Ho 3.46
Mg  0.5574  0.5574  0.7788  2 Mg 3.10-3.41, 1 La 3.36, 2 Ho 3.46

Calculated values
E = -45.68 eV/cell
symmetry = C2/m

***

No. 4
## La2HoMg (PBE-GGA)

Data for La2HoMg after structural relaxation.

Lattice parameters (Å, degrees): 3.8088 3.8088 9.0586 90.00 90.00 90.00
With the nearest neighbours (Å) after each atom.
Fractional positions:
La  0.0000  0.0000  0.2334  4 Mg 3.42, 4 Ho 3.62, 4 La 3.81
La  0.0000  0.0000  0.7666  4 Mg 3.42, 4 Ho 3.62, 4 La 3.81
Ho  0.5000  0.5000  0.5000  8 La 3.62, 4 Ho 3.81
Mg  0.5000  0.5000  0.0000  8 La 3.42, 4 Mg 3.81

Calculated values
E = -16.13 eV/cell
symmetry = P4/mmm

***

No. 5
## La2HoMg5 (PBE-GGA)

Data for La2HoMg5 after structural relaxation.

Lattice parameters (Å, degrees): 8.9047 8.9047 8.9047 145.74 145.74 49.24
With the nearest neighbours (Å) after each atom.
Fractional positions:
La  0.2405  0.2405  0.0000  8 Mg 3.36-3.56, 4 La 3.72
La  0.7595  0.7595  0.0000  8 Mg 3.36-3.56, 4 La 3.72
Ho  0.5000  0.5000  0.0000  8 Mg 3.18
Mg  0.0000  0.0000  0.0000  8 Mg 3.18
Mg  0.1113  0.6113  0.5000  2 Ho 3.18, 2 Mg 3.18, 4 La 3.36-3.56
Mg  0.3887  0.8887  0.5000  2 Ho 3.18, 2 Mg 3.18, 4 La 3.36-3.56
Mg  0.6113  0.1113  0.5000  2 Ho 3.18, 2 Mg 3.18, 4 La 3.36-3.56
Mg  0.8887  0.3887  0.5000  2 Ho 3.18, 2 Mg 3.18, 4 La 3.36-3.56

Calculated values
E = -23.00 eV/cell
symmetry = I4/mmm

***

No. 6
## La12Ho6Mg (PBE-GGA)

Data for La12Ho6Mg after structural relaxation.

Lattice parameters (Å, degrees): 8.8677 8.8677 8.8677 98.77 98.77 98.77
With the nearest neighbours (Å) after each atom.
Fractional positions:
La  0.0008  0.2606  0.7393  4 Ho 3.46-3.57, 1 Mg 3.51, 6 La 3.51-3.68
La  0.1663  0.5820  0.5816  1 La 3.11
La  0.2606  0.7393  0.0008  4 Ho 3.46-3.57, 1 Mg 3.51, 6 La 3.51-3.68
La  0.2607  0.9992  0.7394  4 Ho 3.46-3.57, 1 Mg 3.51, 6 La 3.51-3.68
La  0.4180  0.4184  0.8337  1 La 3.11
La  0.4184  0.8337  0.4180  1 La 3.11
La  0.5816  0.1663  0.5820  1 La 3.11
La  0.5820  0.5816  0.1663  1 La 3.11
La  0.7393  0.0008  0.2606  4 Ho 3.46-3.57, 1 Mg 3.51, 6 La 3.51-3.68
La  0.7394  0.2607  0.9992  4 Ho 3.46-3.57, 6 La 3.51-3.68, 1 Mg 3.51
La  0.8337  0.4180  0.4184  1 La 3.11
La  0.9992  0.7394  0.2607  4 Ho 3.46-3.57, 1 Mg 3.51, 6 La 3.51-3.68
Ho  0.1411  0.4061  0.1420  4 La 3.46-3.57, 2 Ho 3.56, 1 Mg 3.59
Ho  0.1420  0.1411  0.4061  4 La 3.46-3.57, 2 Ho 3.56, 1 Mg 3.59
Ho  0.4061  0.1420  0.1411  4 La 3.46-3.57, 2 Ho 3.56, 1 Mg 3.59
Ho  0.5939  0.8580  0.8589  4 La 3.46-3.57, 2 Ho 3.56, 1 Mg 3.59
Ho  0.8580  0.8589  0.5939  4 La 3.46-3.57, 2 Ho 3.56, 1 Mg 3.59
Ho  0.8589  0.5939  0.8580  4 La 3.46-3.57, 2 Ho 3.56, 1 Mg 3.59
Mg  0.0000  0.0000  0.0000  6 La 3.51, 6 Ho 3.59

Calculated values
E = -85.81 eV/cell
symmetry = R-3

***

No. 7
## LaHo3Mg2 (PBE-GGA)

Data for LaHo3Mg2 after structural relaxation.

Lattice parameters (Å, degrees): 3.6978 3.6978 12.9149 90.00 90.00 90.00
With the nearest neighbours (Å) after each atom.
Fractional positions:
La  0.0000  0.0000  0.0000  8 Ho 3.65, 4 La 3.70
Ho  0.5000  0.5000  0.1969  4 Mg 3.28, 4 La 3.65
Ho  0.5000  0.5000  0.5000  8 Mg 3.26
Ho  0.5000  0.5000  0.8031  4 Mg 3.28, 4 La 3.65
Mg  0.0000  0.0000  0.3496  8 Ho 3.26-3.28
Mg  0.0000  0.0000  0.6504  8 Ho 3.26-3.28

Calculated values
E = -22.05 eV/cell
symmetry = P4/mmm

***

No. 8
## LaHo7Mg2 (PBE-GGA)

Data for LaHo7Mg2 after structural relaxation.

Lattice parameters (Å, degrees): 9.0625 9.0625 5.4585 90.00 90.00 122.41
With the nearest neighbours (Å) after each atom.
Fractional positions:
La  0.0000  0.0000  0.0000  10 Ho 3.52-3.65
Ho  0.0647  0.2971  0.5000  2 Mg 3.11-3.28, 2 Ho 3.16-3.34
Ho  0.2215  0.7785  0.0000  2 Mg 2.98
Ho  0.2971  0.0647  0.5000  2 Mg 3.11-3.28, 2 Ho 3.16-3.34
Ho  0.5000  0.5000  0.5000  2 Mg 3.22, 4 Ho 3.34
Ho  0.7029  0.9353  0.5000  2 Mg 3.11-3.28, 2 Ho 3.16-3.34
Ho  0.7785  0.2215  0.0000  2 Mg 2.98
Ho  0.9353  0.7029  0.5000  2 Mg 3.11-3.28, 2 Ho 3.16-3.34
Mg  0.2971  0.7029  0.5000  7 Ho 2.98-3.28
Mg  0.7029  0.2971  0.5000  7 Ho 2.98-3.28

Calculated values
E = -34.22 eV/cell
symmetry = Cmmm

***

No. 9
## La3Ho3Mg (PBE-GGA)

Data for La3Ho3Mg after structural relaxation.

Lattice parameters (Å, degrees): 9.6532 9.6532 5.7067 90.00 90.00 120.00
With the nearest neighbours (Å) after each atom.
Fractional positions:
La  0.1002  0.4692  0.2500  5 Ho 3.54-3.83, 3 Mg 3.54-3.71, 4 La 3.64-3.66
La  0.3690  0.8998  0.2500  5 Ho 3.54-3.83, 3 Mg 3.54-3.71, 4 La 3.64-3.66
La  0.4692  0.3690  0.7500  5 Ho 3.54-3.83, 3 Mg 3.54-3.71, 4 La 3.64-3.66
La  0.5308  0.6310  0.2500  5 Ho 3.54-3.83, 3 Mg 3.54-3.71, 4 La 3.64-3.66
La  0.6310  0.1002  0.7500  5 Ho 3.54-3.83, 3 Mg 3.54-3.71, 4 La 3.64-3.66
La  0.8998  0.5308  0.7500  5 Ho 3.54-3.83, 3 Mg 3.54-3.71, 4 La 3.64-3.66
Ho  0.0502  0.2312  0.7500  6 Ho 3.50-3.52, 5 La 3.54-3.83, 1 Mg 3.70
Ho  0.1810  0.9498  0.7500  6 Ho 3.50-3.52, 5 La 3.54-3.83, 1 Mg 3.70
Ho  0.2312  0.1810  0.2500  6 Ho 3.50-3.52, 5 La 3.54-3.83, 1 Mg 3.70
Ho  0.7688  0.8190  0.7500  6 Ho 3.50-3.52, 5 La 3.54-3.83, 1 Mg 3.70
Ho  0.8190  0.0502  0.2500  6 Ho 3.50-3.52, 5 La 3.54-3.83, 1 Mg 3.70
Ho  0.9498  0.7688  0.2500  6 Ho 3.50-3.52, 5 La 3.54-3.83, 1 Mg 3.70
Mg  0.3333  0.6667  0.7500  9 La 3.54-3.71, 3 Ho 3.70
Mg  0.6667  0.3333  0.2500  9 La 3.54-3.71, 3 Ho 3.70

Calculated values
E = -59.98 eV/cell
symmetry = P6_3/m

***

No. 10
## La9HoMg2 (PBE-GGA)

Data for La9HoMg2 after structural relaxation.

Lattice parameters (Å, degrees): 5.1534 5.1534 15.4463 90.00 90.00 90.00
With the nearest neighbours (Å) after each atom.
Fractional positions:
La  0.0000  0.0000  0.0000  4 Ho 3.64, 8 La 3.66
La  0.0000  0.0000  0.3336  8 La 3.63-3.64, 4 Mg 3.64
La  0.0000  0.0000  0.6664  8 La 3.63-3.64, 4 Mg 3.64
La  0.0000  0.5000  0.1684  8 La 3.63-3.66, 2 Mg 3.65, 2 Ho 3.66
La  0.0000  0.5000  0.5000  4 Mg 3.62, 8 La 3.64
La  0.0000  0.5000  0.8316  8 La 3.63-3.66, 2 Mg 3.65, 2 Ho 3.66
La  0.5000  0.0000  0.1684  8 La 3.63-3.66, 2 Mg 3.65, 2 Ho 3.66
La  0.5000  0.0000  0.5000  4 Mg 3.62, 8 La 3.64
La  0.5000  0.0000  0.8316  8 La 3.63-3.66, 2 Mg 3.65, 2 Ho 3.66
Ho  0.5000  0.5000  0.0000  12 La 3.64-3.66
Mg  0.5000  0.5000  0.3358  12 La 3.62-3.65
Mg  0.5000  0.5000  0.6642  12 La 3.62-3.65

Calculated values
E = -52.28 eV/cell
symmetry = P4/mmm

***

No. 11
## La7Ho2Mg2 (PBE-GGA)

Data for La7Ho2Mg2 after structural relaxation.

Lattice parameters (Å, degrees): 7.9721 7.9721 6.2509 104.40 104.40 95.03
With the nearest neighbours (Å) after each atom.
Fractional positions:
La  0.0000  0.0000  0.0000  4 La 3.43, 2 Ho 3.50
La  0.0713  0.5757  0.8297  2 La 3.09-3.43, 2 Mg 3.29-3.34, 1 Ho 3.38
La  0.4132  0.4132  0.2047  6 La 3.47-3.82, 2 Mg 3.64, 2 Ho 3.70-3.88
La  0.4243  0.9287  0.1703  2 La 3.09-3.43, 2 Mg 3.29-3.34, 1 Ho 3.38
La  0.5757  0.0713  0.8297  2 La 3.09-3.43, 2 Mg 3.29-3.34, 1 Ho 3.38
La  0.5868  0.5868  0.7953  6 La 3.47-3.82, 2 Mg 3.64, 2 Ho 3.70-3.88
La  0.9287  0.4243  0.1703  2 La 3.09-3.43, 2 Mg 3.29-3.34, 1 Ho 3.38
Ho  0.1988  0.1988  0.5860  2 Mg 3.34, 4 La 3.38-3.70
Ho  0.8012  0.8012  0.4140  2 Mg 3.34, 4 La 3.38-3.70
Mg  0.2274  0.7726  0.5000  6 La 3.29-3.64, 2 Ho 3.34
Mg  0.7726  0.2274  0.5000  6 La 3.29-3.64, 2 Ho 3.34

Calculated values
E = -45.90 eV/cell
symmetry = C2/m

***

No. 12
## LaHoMg (PBE-GGA)

Data for LaHoMg after structural relaxation.

Lattice parameters (Å, degrees): 3.5382 3.5382 17.2807 90.00 90.00 120.00
With the nearest neighbours (Å) after each atom.
Fractional positions:
La  0.0000  0.0000  0.1013  7 La 3.50-3.54, 3 Ho 3.58
La  0.0000  0.0000  0.8987  7 La 3.50-3.54, 3 Ho 3.58
Ho  0.3333  0.6667  0.2716  3 Mg 3.39, 6 Ho 3.54, 3 La 3.58
Ho  0.6667  0.3333  0.7284  3 Mg 3.39, 6 Ho 3.54, 3 La 3.58
Mg  0.3333  0.6667  0.5721  9 Mg 3.22-3.54, 3 Ho 3.39
Mg  0.6667  0.3333  0.4279  9 Mg 3.22-3.54, 3 Ho 3.39

Calculated values
E = -21.78 eV/cell
symmetry = P-3m1